The following is a DFT calculation (PBE-GGA) of a relaxed Y2InI crystal.

The structure belongs to space group R3m (No. 160, hexagonal axes); the cell edges are 3.8131, 3.8131 and 27.9186 Å and the angles 90.00°, 90.00° and 120.00°. The distinct sites, in fractional coordinates, are Y at (0.0000, 0.0000, 0.0000), Y at (0.0000, 0.0000, 0.1692), In at (0.0000, 0.0000, 0.5849) and I at (0.0000, 0.0000, 0.4171).

Its formation energy from raw total energies is -580 meV/atom. The calculation puts the magnetization at 0.000 Bohr magnetons per cell.

The following is a DFT calculation (PBE-GGA) of a relaxed KGaBiAu3 crystal.

The structure belongs to space group C2/c (No. 15); the cell edges are 7.459, 12.698 and 7.221 Å and the angles 90.00°, 95.32° and 90.00°. The distinct sites, in fractional coordinates, are K at (0.000, 0.243, 0.250), Ga at (0.000, 0.481, 0.750), Bi at (0.000, 0.051, 0.750), Au at (0.000, 0.278, 0.750) and Au at (0.222, 0.437, 0.510).

The raw total energy comes out at -3.1523 eV per atom. The calculation puts the magnetization at 0.000 Bohr magnetons per cell.

The following is a DFT calculation (PBE-GGA) of a relaxed CaCr2Se crystal.

The structure belongs to space group R3m (No. 160, hexagonal axes); the cell edges are 4.1516, 4.1516 and 16.8444 Å and the angles 90.00°, 90.00° and 120.00°. The distinct sites, in fractional coordinates, are Ca at (0.0000, 0.0000, 0.0000), Cr at (0.0000, 0.0000, 0.4663), Cr at (0.0000, 0.0000, 0.7961) and Se at (0.0000, 0.0000, 0.2075).

Its formation energy from raw total energies is -183 meV/atom. The calculation puts the magnetization at 0.076 Bohr magnetons per cell.

The following is a DFT calculation (PBE-GGA) of a relaxed NbOsPb2 crystal.

The structure belongs to space group I-42d (No. 122); the cell edges are 7.899, 7.899 and 5.778 Å and the angles 90.00°, 90.00° and 90.00°. The distinct sites, in fractional coordinates, are Nb at (0.000, 0.000, 0.000), Os at (0.000, 0.000, 0.500) and Pb at (0.221, 0.250, 0.625).

The raw total energy comes out at -6.1176 eV per atom. The calculation puts the magnetization at 0.001 Bohr magnetons per cell.

Q: The highest magnetization belongs to which entry?
A: CaCr2Se

Q: What is the magnetization in the third record?
A: 0.076 Bohr magnetons per cell